[1]
FeMo2Ir after structural relaxation, computed with GGA-PBE.

```
4
Lattice="2.7033 -3.8932 0.0000 2.7033 3.8932 0.0000 0.0000 0.0000 2.7297" Properties=species:S:1:pos:R:3 pbc="T T T"
Fe 0.0000 0.0000 0.0000
Mo 1.3516 1.9466 1.3649
Mo 1.3516 -1.9466 1.3649
Ir 2.7033 0.0000 0.0000
```

Computed properties:
* total moment: 1.17 μB/f.u.
* E_form: -0.0496 eV per atom
* energy above the most stable polymorph in this dataset: 24 meV per atom
* symmetry: Cmmm

[2]
Sm2AgAu3 after structural relaxation, computed with GGA-PBE.

```
24
Lattice="7.7281 0.0000 0.0000 0.0000 3.9374 0.0000 0.0000 0.0000 18.0491" Properties=species:S:1:pos:R:3 pbc="T T T"
Sm 0.7494 0.9844 3.8038
Sm 1.3066 0.9844 7.7941
Sm 2.5575 2.9531 16.8187
Sm 3.1146 2.9531 12.8284
Sm 4.6134 0.9844 5.2207
Sm 5.1706 0.9844 1.2304
Sm 6.4215 2.9531 10.2550
Sm 6.9787 2.9531 14.2453
Ag 0.0780 2.9531 1.0831
Ag 3.7861 0.9844 10.1077
Ag 3.9420 2.9531 7.9414
Ag 7.6501 0.9844 16.9660
Au 0.6158 0.9844 11.9764
Au 1.5968 0.9844 14.6801
Au 1.6942 2.9531 10.0516
Au 2.1699 0.9844 1.0271
Au 2.2673 2.9531 5.6555
Au 3.2483 2.9531 2.9519
Au 4.4798 0.9844 15.0972
Au 5.4608 0.9844 12.3936
Au 5.5582 2.9531 17.0220
Au 6.0339 0.9844 7.9975
Au 6.1313 2.9531 3.3690
Au 7.1123 2.9531 6.0727
```

Computed properties:
* total moment: 0.00 μB/f.u.
* E_form: -0.6796 eV per atom
* energy above the most stable polymorph in this dataset: 0 meV per atom
* symmetry: Pnma

[3]
BeZn2Au2 after structural relaxation, computed with GGA-PBE.

```
20
Lattice="9.3292 0.0000 0.0000 0.0000 5.9631 0.0000 0.0000 0.0000 5.9105" Properties=species:S:1:pos:R:3 pbc="T T T"
Be 1.5200 1.4908 0.0000
Be 1.5200 1.4908 2.9553
Be 7.8092 4.4723 0.0000
Be 7.8092 4.4723 2.9553
Zn 1.7758 4.4723 0.0000
Zn 1.7758 4.4723 2.9553
Zn 4.4948 4.4723 0.0000
Zn 4.4948 4.4723 2.9553
Zn 4.8344 1.4908 0.0000
Zn 4.8344 1.4908 2.9553
Zn 7.5535 1.4908 0.0000
Zn 7.5535 1.4908 2.9553
Au 0.2038 0.1183 1.4776
Au 0.2038 2.8633 4.4329
Au 3.0173 0.2956 4.4329
Au 3.0173 2.6860 1.4776
Au 6.3119 3.2772 4.4329
Au 6.3119 5.6675 1.4776
Au 9.1254 3.0999 1.4776
Au 9.1254 5.8448 4.4329
```

Computed properties:
* total moment: 0.00 μB/f.u.
* E_form: -0.0960 eV per atom
* energy above the most stable polymorph in this dataset: 0 meV per atom
* symmetry: Pbcm

[4]
LiNd2ErSe4 after structural relaxation, computed with GGA-PBE.

```
8
Lattice="7.1091 0.0000 0.0000 0.0000 4.1158 0.0000 -2.3631 0.0000 6.7634" Properties=species:S:1:pos:R:3 pbc="T T T"
Li 0.0000 0.0000 0.0000
Nd -1.1815 2.0579 3.3817
Nd 2.3730 0.0000 3.3817
Er 3.5546 2.0579 0.0000
Se 1.1731 2.0579 1.5633
Se -0.0263 0.0000 5.2038
Se 4.7724 0.0000 1.5596
Se 3.5730 2.0579 5.2001
```

Computed properties:
* total moment: 0.00 μB/f.u.
* uncorrected formation energy: -168.8 kJ per mole of atoms
* symmetry: P2/m

[5]
Al2GaPb after structural relaxation, computed with GGA-PBE.

```
4
Lattice="1.6055 0.9269 9.9996 -1.6055 0.9269 9.9996 0.0000 -1.8539 9.9996" Properties=species:S:1:pos:R:3 pbc="T T T"
Al 0.0000 0.0000 2.9524
Al 0.0000 0.0000 27.0464
Ga 0.0000 0.0000 14.9994
Pb 0.0000 0.0000 0.0000
```

Computed properties:
* total moment: 0.00 μB/f.u.
* E_form: 0.2135 eV per atom
* energy above the most stable polymorph in this dataset: 46 meV per atom
* symmetry: R-3m

[6]
RbP2PtCl after structural relaxation, computed with GGA-PBE.

```
5
Lattice="5.6294 0.0000 0.0000 0.0000 5.6294 0.0000 0.0000 0.0000 5.5575" Properties=species:S:1:pos:R:3 pbc="T T T"
Rb 0.0000 0.0000 0.0000
P 0.0000 2.8147 0.0000
P 2.8147 0.0000 0.0000
Pt 2.8147 2.8147 2.7787
Cl 0.0000 0.0000 2.7787
```

Computed properties:
* total moment: 2.77 μB/f.u.
* uncorrected formation energy: 192.3 kJ per mole of atoms
* energy above the most stable polymorph in this dataset: 2239 meV per atom
* symmetry: P4/mmm

[7]
DyMgAg2 after structural relaxation, computed with GGA-PBE.

```
4
Lattice="5.1024 0.0000 0.0000 0.0000 5.1024 0.0000 0.0000 0.0000 3.3178" Properties=species:S:1:pos:R:3 pbc="T T T"
Dy 0.0000 0.0000 0.0000
Mg 2.5512 2.5512 0.0000
Ag 0.0000 2.5512 1.6589
Ag 2.5512 0.0000 1.6589
```

Computed properties:
* total moment: 0.00 μB/f.u.
* E_form: -0.1963 eV per atom
* symmetry: P4/mmm

[8]
ErPuMnNi after structural relaxation, computed with GGA-PBE.

```
4
Lattice="0.0000 3.3640 3.3640 3.3640 0.0000 3.3640 3.3640 3.3640 0.0000" Properties=species:S:1:pos:R:3 pbc="T T T"
Er 0.0000 0.0000 0.0000
Pu 3.3640 3.3640 3.3640
Mn 5.0460 5.0460 5.0460
Ni 1.6820 1.6820 1.6820
```

Computed properties:
* total moment: 2.72 μB/f.u.
* E_form: -0.0020 eV per atom
* symmetry: F-43m

[9]
Zr6PdRu after structural relaxation, computed with GGA-PBE.

```
8
Lattice="-2.3492 2.3492 7.4752 2.3492 -2.3492 7.4752 2.3492 2.3492 -7.4752" Properties=species:S:1:pos:R:3 pbc="T T T"
Zr 2.3492 0.0000 1.6477
Zr 0.0000 0.0000 3.7188
Zr 2.3492 0.0000 5.8276
Zr 0.0000 2.3492 1.6477
Zr 0.0000 0.0000 11.2317
Zr 0.0000 2.3492 5.8276
Pd 0.0000 0.0000 7.4752
Ru 0.0000 0.0000 0.0000
```

Computed properties:
* total moment: 0.00 μB/f.u.
* E_form: -0.3160 eV per atom
* symmetry: I4/mmm

[10]
PrEuSb after structural relaxation, computed with GGA-PBE.

```
3
Lattice="-2.1127 2.1127 5.2866 2.1127 -2.1127 5.2866 2.1127 2.1127 -5.2866" Properties=species:S:1:pos:R:3 pbc="T T T"
Pr 0.0000 0.0000 0.0000
Eu 0.0000 0.0000 7.3747
Sb 0.0000 0.0000 3.7620
```

Computed properties:
* total moment: 8.66 μB/f.u.
* uncorrected formation energy: -66.0 kJ per mole of atoms
* energy above the most stable polymorph in this dataset: 0 meV per atom
* symmetry: I4mm

[11]
Pm3Co6Ge5 after structural relaxation, computed with GGA-PBE.

```
28
Lattice="3.9646 0.0000 0.0000 0.0000 12.0249 0.0000 0.0000 0.0000 9.7614" Properties=species:S:1:pos:R:3 pbc="T T T"
Pm 0.9912 1.0758 2.3740
Pm 0.9912 4.9367 2.3740
Pm 0.9912 9.0187 2.4566
Pm 2.9735 3.0062 7.3048
Pm 2.9735 7.0882 7.3874
Pm 2.9735 10.9492 7.3874
Co 0.9912 0.6578 8.7955
Co 0.9912 3.0062 5.0475
Co 0.9912 3.0062 9.6840
Co 0.9912 5.3547 8.7955
Co 0.9912 6.9603 4.7965
Co 0.9912 11.0771 4.7965
Co 2.9735 0.9478 4.9649
Co 2.9735 5.0647 4.9649
Co 2.9735 6.6702 0.9659
Co 2.9735 9.0187 0.0774
Co 2.9735 9.0187 4.7139
Co 2.9735 11.3672 0.9659
Ge 0.9912 0.9258 6.2917
Ge 0.9912 5.0867 6.2917
Ge 0.9912 7.5340 9.6770
Ge 0.9912 9.0187 5.9468
Ge 0.9912 10.5035 9.6770
Ge 2.9735 1.5215 0.0844
Ge 2.9735 3.0062 3.8146
Ge 2.9735 4.4910 0.0844
Ge 2.9735 6.9382 3.4697
Ge 2.9735 11.0992 3.4697
```

Computed properties:
* total moment: 0.00 μB/f.u.
* E_form: -0.5197 eV per atom
* symmetry: Pmmn

[12]
KTcBPb2 after structural relaxation, computed with GGA-PBE.

```
5
Lattice="5.8133 0.0000 0.0000 0.0000 5.8133 0.0000 0.0000 0.0000 4.7246" Properties=species:S:1:pos:R:3 pbc="T T T"
K 0.0000 0.0000 0.0000
Tc 2.9067 2.9067 2.3623
B 0.0000 0.0000 2.3623
Pb 0.0000 2.9067 0.0000
Pb 2.9067 0.0000 0.0000
```

Computed properties:
* total moment: 3.48 μB/f.u.
* E_form: 2.4140 eV per atom
* symmetry: P4/mmm

[13]
CaPm2Sn after structural relaxation, computed with GGA-PBE.

```
4
Lattice="4.9867 0.0000 0.0000 0.0000 4.9867 0.0000 0.0000 0.0000 4.8834" Properties=species:S:1:pos:R:3 pbc="T T T"
Ca 0.0000 0.0000 0.0000
Pm 0.0000 2.4934 2.4417
Pm 2.4934 0.0000 2.4417
Sn 2.4934 2.4934 0.0000
```

Computed properties:
* total moment: 0.00 μB/f.u.
* E_form: -0.3982 eV per atom
* energy above the most stable polymorph in this dataset: 0 meV per atom
* symmetry: P4/mmm

[14]
Nd2Ho5Er5 after structural relaxation, computed with GGA-PBE.

```
12
Lattice="7.5157 -2.5033 0.0000 7.5157 2.5033 0.0000 -5.0055 0.0000 10.0199" Properties=species:S:1:pos:R:3 pbc="T T T"
Nd 0.0013 0.0000 2.4948
Nd 10.0247 0.0000 7.5251
Ho 2.5136 0.0000 5.0088
Ho 4.9935 0.0000 2.5020
Ho 7.5157 0.0000 0.0000
Ho 5.0325 0.0000 7.5179
Ho 7.5124 0.0000 5.0111
Er -2.5027 0.0000 5.0099
Er 2.5218 0.0000 0.0007
Er -0.0151 0.0000 7.5095
Er 10.0411 0.0000 2.5104
Er 7.5042 0.0000 10.0192
```

Computed properties:
* total moment: 0.00 μB/f.u.
* E_form: 0.0225 eV per atom
* symmetry: C2/m

[15]
NbSbSe3 after structural relaxation, computed with GGA-PBE.

```
5
Lattice="5.0517 0.0000 0.0000 0.0000 5.0517 0.0000 0.0000 0.0000 5.0517" Properties=species:S:1:pos:R:3 pbc="T T T"
Nb 0.0000 0.0000 0.0000
Sb 2.5259 2.5259 2.5259
Se 0.0000 0.0000 2.5259
Se 0.0000 2.5259 0.0000
Se 2.5259 0.0000 0.0000
```

Computed properties:
* total moment: 0.00 μB/f.u.
* uncorrected formation energy: 2.6 kJ per mole of atoms
* energy above the most stable polymorph in this dataset: 0 meV per atom
* symmetry: Pm-3m